(1)
Computed, not measured: an optimized crystal structure of Y2Zn3 at the PBEsol level of DFT.

Values from the calculation:
Raw total energy in eV per atom: -3.97
Calculated volume in Å³/f.u.: 104
Space group: R-3m, No. 166

Cell: 4.489 4.489 6.503 Å, 69.81 69.81 60.00°
Sites, in units of the cell vectors:
Zn  0.000  0.000  0.000
Zn  0.171  0.171  0.486
Zn  0.829  0.829  0.514
Y  0.408  0.408  0.776
Y  0.592  0.592  0.224

(2)
Computed, not measured: an optimized crystal structure of Sc2NbZnPb at the PBEsol level of DFT.

Values from the calculation:
Raw total energy in eV per atom: -5.30
Calculated volume in Å³/f.u.: 124
Space group: P4/mmm, No. 123

Cell: 4.955 4.955 5.042 Å, 90.00 90.00 90.00°
Sites, in units of the cell vectors:
Sc  0.500  0.000  0.000
Sc  0.000  0.500  0.000
Pb  0.500  0.500  0.500
Zn  0.000  0.000  0.500
Nb  0.000  0.000  0.000

(3)
Computed, not measured: an optimized crystal structure of Cu3Pt at the PBEsol level of DFT.

Values from the calculation:
Raw total energy in eV per atom: -5.08
Calculated volume in Å³/f.u.: 50
Space group: P2, No. 3

Cell: 4.431 4.486 7.910 Å, 90.00 90.00 108.90°
Sites, in units of the cell vectors:
Cu  0.000  0.500  0.496
Cu  0.000  0.500  0.162
Cu  0.500  0.000  0.497
Cu  0.000  0.000  0.332
Cu  0.000  0.500  0.839
Cu  0.500  0.500  0.002
Cu  0.500  0.000  0.167
Cu  0.000  0.000  0.664
Cu  0.000  0.000  0.008
Pt  0.500  0.500  0.325
Pt  0.500  0.500  0.665
Pt  0.500  0.000  0.843

(4)
Computed, not measured: an optimized crystal structure of BaSc2Te at the PBEsol level of DFT.

Values from the calculation:
Calculated volume in Å³/f.u.: 107
Space group: P4/mmm, No. 123
Energy relative to the elements, uncorrected in eV per formula unit: -0.9

Cell: 4.766 4.766 4.722 Å, 90.00 90.00 90.00°
Sites, in units of the cell vectors:
Ba  0.000  0.000  0.500
Sc  0.000  0.500  0.000
Sc  0.500  0.000  0.000
Te  0.500  0.500  0.500

(5)
Computed, not measured: an optimized crystal structure of CuTcCl2 at the PBEsol level of DFT.

Values from the calculation:
Calculated volume in Å³/f.u.: 56
Space group: Fm-3m, No. 225
Energy relative to the elements, uncorrected in eV per formula unit: 2.4

Cell: 4.292 4.293 4.292 Å, 60.01 90.00 119.99°
Sites, in units of the cell vectors:
Cl  0.750  0.500  0.750
Cl  0.250  0.500  0.250
Tc  0.000  0.000  0.000
Cu  0.500  0.000  0.500

(6)
Computed, not measured: an optimized crystal structure of Sm2MgCu2 at the PBEsol level of DFT.

Values from the calculation:
Raw total energy in eV per atom: -4.31
Calculated volume in Å³/f.u.: 108
Space group: P4/mbm, No. 127

Cell: 3.666 7.659 7.659 Å, 90.00 90.00 90.00°
Sites, in units of the cell vectors:
Cu  0.000  0.378  0.122
Cu  0.000  0.622  0.878
Cu  0.000  0.122  0.622
Cu  0.000  0.878  0.378
Sm  0.500  0.670  0.170
Sm  0.500  0.330  0.830
Sm  0.500  0.830  0.670
Sm  0.500  0.170  0.330
Mg  0.000  0.000  0.000
Mg  0.000  0.500  0.500

(7)
Computed, not measured: an optimized crystal structure of Ca2AlTe at the PBEsol level of DFT.

Values from the calculation:
Calculated volume in Å³/f.u.: 109
Space group: Cm, No. 8
Energy relative to the elements, uncorrected in eV per formula unit: -2.4

Cell: 3.878 5.048 6.265 Å, 109.13 108.03 90.00°
Sites, in units of the cell vectors:
Al  0.231  0.785  0.463
Ca  0.989  0.951  0.978
Ca  0.765  0.302  0.531
Te  0.514  0.461  0.029

(8)
Computed, not measured: an optimized crystal structure of Ag2HgOs at the PBEsol level of DFT.

Values from the calculation:
Raw total energy in eV per atom: -4.23
Calculated volume in Å³/f.u.: 67
Space group: P2/m, No. 10

Cell: 2.737 4.862 5.030 Å, 90.00 92.28 90.00°
Sites, in units of the cell vectors:
Ag  0.735  0.000  0.741
Ag  0.265  0.000  0.259
Hg  0.500  0.500  0.000
Os  0.000  0.500  0.500

(9)
Computed, not measured: an optimized crystal structure of AsAuS2 at the PBEsol level of DFT.

Values from the calculation:
Calculated volume in Å³/f.u.: 87
Space group: R-3m, No. 166
Energy relative to the elements, uncorrected in eV per formula unit: -0.1

Cell: 3.731 3.731 7.561 Å, 75.72 75.72 60.00°
Sites, in units of the cell vectors:
S  0.896  0.896  0.311
S  0.104  0.104  0.689
As  0.500  0.500  0.500
Au  0.000  0.000  0.000

(10)
Computed, not measured: an optimized crystal structure of BaTa2W at the PBEsol level of DFT.

Values from the calculation:
Raw total energy in eV per atom: -9.43
Calculated volume in Å³/f.u.: 87
Space group: R-3m, No. 166

Cell: 3.161 3.161 10.232 Å, 81.12 81.12 60.00°
Sites, in units of the cell vectors:
Ta  0.232  0.232  0.305
Ta  0.768  0.768  0.695
Ba  0.000  0.000  0.000
W  0.500  0.500  0.500

(11)
Computed, not measured: an optimized crystal structure of Ta2TeSe at the PBEsol level of DFT.

Values from the calculation:
Calculated volume in Å³/f.u.: 77
Space group: F-43m, No. 216
Energy relative to the elements, uncorrected in eV per formula unit: 1.9

Cell: 4.770 4.770 4.770 Å, 60.00 60.00 60.00°
Sites, in units of the cell vectors:
Ta  0.000  0.000  0.000
Ta  0.250  0.250  0.250
Te  0.750  0.750  0.750
Se  0.500  0.500  0.500

(12)
Computed, not measured: an optimized crystal structure of Li2NiP4O12 at the PBEsol level of DFT.

Values from the calculation:
Calculated volume in Å³/f.u.: 224
Space group: P-1, No. 2
Energy relative to the elements, uncorrected in eV per formula unit: -39.0

Cell: 5.192 6.813 7.031 Å, 108.42 95.22 105.21°
Last column: magnetic moment on the atom in μB.
Sites, in units of the cell vectors:
O  0.678  0.373  0.014  0.00
O  0.271  0.991  0.186  0.00
O  0.961  0.729  0.806  0.00
O  0.700  0.437  0.389  0.00
O  0.300  0.563  0.611  0.00
O  0.423  0.177  0.652  0.00
O  0.059  0.665  0.274  0.00
O  0.577  0.823  0.348  0.00
O  0.322  0.627  0.986  0.00
O  0.941  0.335  0.726  0.00
O  0.729  0.009  0.814  0.00
O  0.039  0.271  0.194  0.00
P  0.674  0.211  0.790  0.00
P  0.133  0.575  0.772  0.00
P  0.326  0.789  0.210  0.00
P  0.867  0.425  0.228  0.00
Li  0.346  0.277  0.427  0.00
Li  0.654  0.723  0.573  0.00
Ni  0.000  0.000  0.000  0.14

(13)
Computed, not measured: an optimized crystal structure of Fe2SbRh at the PBEsol level of DFT.

Values from the calculation:
Calculated volume in Å³/f.u.: 57
Space group: P2/m, No. 10
Energy relative to the elements, uncorrected in eV per formula unit: 0.6

Cell: 2.864 3.862 5.195 Å, 90.00 89.91 90.00°
Last column: magnetic moment on the atom in μB.
Sites, in units of the cell vectors:
Fe  0.000  0.000  0.235  2.58
Fe  0.000  0.000  0.765  2.58
Rh  0.500  0.500  0.000  0.54
Sb  0.500  0.500  0.500  -0.03

(14)
Computed, not measured: an optimized crystal structure of Pr2SO2 at the PBEsol level of DFT.

Values from the calculation:
Calculated volume in Å³/f.u.: 93
Space group: P-3m1, No. 164
Energy relative to the elements, uncorrected in eV per formula unit: -15.4

Cell: 3.972 3.972 6.807 Å, 90.00 90.00 120.00°
Sites, in units of the cell vectors:
Pr  0.333  0.667  0.280
Pr  0.667  0.333  0.720
O  0.667  0.333  0.370
O  0.333  0.667  0.630
S  0.000  0.000  0.000